Here is an optimized crystal structure of CeScAl2Zn5 from the Alexandria database. Energies are from PBE.

Total DFT energy (no corrections) ... -2.9668 eV per atom
Symmetry ... No. 123
E_form ... -0.0646 eV/atom

a = 4.2779 Å, b = 4.2779 Å, c = 9.4953 Å
α = 90.00°, β = 90.00°, γ = 90.00°
Each line ends with the local moment (μB).
Fractional positions:
1 Ce 0.0000 0.0000 0.5000  0.67
2 Sc 0.0000 0.0000 0.0000  0.05
3 Al 0.5000 0.5000 0.1290  0.00
4 Al 0.5000 0.5000 0.8710  0.00
5 Zn 0.0000 0.5000 0.2711  0.01
6 Zn 0.5000 0.0000 0.2711  0.01
7 Zn 0.0000 0.5000 0.7289  0.01
8 Zn 0.5000 0.0000 0.7289  0.01
9 Zn 0.5000 0.5000 0.5000  0.01

Here is an optimized crystal structure of ScCd5Hg from the Alexandria database. Energies are from PBE.

Total DFT energy (no corrections) ... -1.6547 eV per atom
Symmetry ... No. 15
E_form ... -0.0534 eV/atom

a = 6.1014 Å, b = 6.1014 Å, c = 10.6269 Å
α = 79.04°, β = 79.04°, γ = 59.59°
Fractional positions:
1 Sc 0.3000 0.7000 0.2500
2 Sc 0.7000 0.3000 0.7500
3 Cd 0.8178 0.6982 0.1925
4 Cd 0.3219 0.3826 0.5306
5 Cd 0.6982 0.8178 0.6925
6 Cd 0.7920 0.2080 0.2500
7 Cd 0.6174 0.6781 0.9694
8 Cd 0.3826 0.3219 0.0306
9 Cd 0.2080 0.7920 0.7500
10 Cd 0.3018 0.1822 0.3075
11 Cd 0.6781 0.6174 0.4694
12 Cd 0.1822 0.3018 0.8075
13 Hg 0.0000 0.0000 0.0000
14 Hg 0.0000 0.0000 0.5000

Here is an optimized crystal structure of Mo2RuBr from the Alexandria database. Energies are from PBE.

Total DFT energy (no corrections) ... -7.7423 eV per atom
Symmetry ... No. 6
Excess energy over the best structure of this formula in the dataset ... 0 meV per atom

a = 3.1143 Å, b = 3.1171 Å, c = 7.5759 Å
α = 92.85°, β = 90.00°, γ = 90.00°
Fractional positions:
1 Ru 0.0000 0.7568 0.4415
2 Mo 0.0000 0.7702 0.0420
3 Mo 0.5000 0.2088 0.2576
4 Br 0.5000 0.7642 0.7589

Here is an optimized crystal structure of Ho4Cu3Ir from the Alexandria database. Energies are from PBE.

Total DFT energy (no corrections) ... -5.3876 eV per atom
Symmetry ... No. 25
E_form ... -0.4550 eV/atom

a = 3.7350 Å, b = 4.3996 Å, c = 10.3672 Å
α = 90.00°, β = 90.00°, γ = 90.00°
Fractional positions:
1 Ir 0.5000 0.5000 0.0788
2 Ho 0.5000 0.5000 0.3536
3 Ho 0.0000 0.5000 0.8659
4 Ho 0.0000 0.0000 0.1386
5 Ho 0.5000 0.0000 0.6405
6 Cu 0.0000 0.5000 0.5709
7 Cu 0.0000 0.0000 0.4295
8 Cu 0.5000 0.0000 0.9223

Question: The lowest total DFT energy (no corrections) belongs to which entry?
Answer: Mo2RuBr

Question: total DFT energy (no corrections) of number 4 (Ho4Cu3Ir)?
Answer: -5.3876 eV per atom

Question: total DFT energy (no corrections) of number 4 (Ho4Cu3Ir)?
Answer: -5.3876 eV per atom

Question: The lowest total DFT energy (no corrections) belongs to which entry?
Answer: Mo2RuBr